Entry 1:
# LiTe2Pb, optimized geometry, DFT PBEsol
data_LiTe2Pb
_symmetry_space_group_name_H-M 'P 1'
_symmetry_Int_Tables_number 1
_symmetry_space_group_name_Hall 'P 1'
_cell_length_a 4.148
_cell_length_b 4.191
_cell_length_c 6.512
_cell_angle_alpha 90.00
_cell_angle_beta 105.70
_cell_angle_gamma 90.00
loop_
_atom_site_label
_atom_site_fract_x
_atom_site_fract_y
_atom_site_fract_z
Li1 0.000 0.000 0.000
Te1 0.450 0.500 0.231
Te2 0.550 0.500 0.769
Pb1 0.000 0.000 0.500
# Crystal system   monoclinic
# Formation energy from raw total energies   -0.3844 eV per atom
# DOS at the Fermi energy   1.0 states/eV per cell
# E   -3.639 eV per atom

***

Entry 2:
# LiTlPb, optimized geometry, DFT PBEsol
data_LiTlPb
_symmetry_space_group_name_H-M 'P 1'
_symmetry_Int_Tables_number 1
_symmetry_space_group_name_Hall 'P 1'
_cell_length_a 5.079
_cell_length_b 5.079
_cell_length_c 3.381
_cell_angle_alpha 90.00
_cell_angle_beta 90.00
_cell_angle_gamma 120.00
loop_
_atom_site_label
_atom_site_fract_x
_atom_site_fract_y
_atom_site_fract_z
Li1 0.000 0.000 0.000
Tl1 0.667 0.333 0.878
Pb1 0.333 0.667 0.427
# Crystal system   trigonal
# DOS at the Fermi energy   1.3 states/eV per cell
# Formation energy   -41.8 kJ/mol of formula units
# E   -3.010 eV per atom